# 1
Entry from Alexandria: a geometry-optimized LiGa2OF structure (GGA-PBE).

- DFT total energy: -3.65 eV per atom
- Fermi-level density of states: 0.81 states/eV/cell
- Space group: P4/mmm, No. 123
- Crystal system: tetragonal
- Total moment: 0.00 μB/cell
- Raw formation energy: -691 meV/atom

Cell: 4.126 4.126 6.049 Å, 90.00 90.00 90.00°
Sites, in units of the cell vectors:
Li1 0.000 0.000 0.000
Ga1 0.000 0.500 0.500
Ga2 0.500 0.000 0.500
O1 0.500 0.500 0.500
F1 0.500 0.500 0.000



# 2
Entry from Alexandria: a geometry-optimized HoTmZrSc structure (GGA-PBE).

- DFT total energy: -5.91 eV per atom
- Fermi-level density of states: 5.76 states/eV/cell
- Space group: I-4m2, No. 119
- Crystal system: tetragonal
- Excess energy over the best structure of this formula in the dataset: 0.0 meV per atom
- E_form: 0.07 eV/atom
- Total moment: 0.00 μB/cell

Cell: 5.800 5.800 5.800 Å, 131.75 131.75 70.63°
Sites, in units of the cell vectors:
Ho1 0.000 0.000 0.000
Tm1 0.250 0.750 0.500
Zr1 0.750 0.250 0.500
Sc1 0.500 0.500 0.000



# 3
Entry from Alexandria: a geometry-optimized K3SmP2O8 structure (GGA-PBE).

- DFT total energy: -6.76 eV per atom
- Fermi-level density of states: 0.00 states/eV/cell
- Space group: P2_1/m, No. 11
- Crystal system: monoclinic
- Excess energy over the best structure of this formula in the dataset: 0.0 meV per atom
- Total moment: 0.00 μB/cell
- Raw formation energy: -2581 meV/atom

Cell: 7.555 5.729 9.573 Å, 90.00 91.09 90.00°
Sites, in units of the cell vectors:
K1 0.004 0.250 0.191
K2 0.141 0.750 0.410
K3 0.296 0.250 0.917
K4 0.704 0.750 0.083
K5 0.859 0.250 0.590
K6 0.996 0.750 0.809
Sm1 0.495 0.750 0.710
Sm2 0.505 0.250 0.290
P1 0.269 0.750 0.088
P2 0.311 0.250 0.572
P3 0.689 0.750 0.428
P4 0.731 0.250 0.912
O1 0.067 0.750 0.102
O2 0.217 0.250 0.425
O3 0.259 0.028 0.656
O4 0.259 0.472 0.656
O5 0.324 0.750 0.931
O6 0.348 0.528 0.161
O7 0.348 0.972 0.161
O8 0.487 0.750 0.456
O9 0.513 0.250 0.544
O10 0.652 0.028 0.839
O11 0.652 0.472 0.839
O12 0.676 0.250 0.069
O13 0.741 0.528 0.344
O14 0.741 0.972 0.344
O15 0.783 0.750 0.575
O16 0.933 0.250 0.898



# 4
Entry from Alexandria: a geometry-optimized CsDyS2 structure (GGA-PBE).

- DFT total energy: -5.25 eV per atom
- Fermi-level density of states: 0.00 states/eV/cell
- Space group: R3m, No. 160
- Crystal system: trigonal
- Total moment: 0.00 μB/cell
- Raw formation energy: -1818 meV/atom

Cell: 8.476 8.476 8.476 Å, 27.95 27.95 27.95°
Sites, in units of the cell vectors:
Cs1 0.000 0.000 0.000
Dy1 0.169 0.169 0.169
S1 0.563 0.563 0.563
S2 0.775 0.775 0.775



# 5
Entry from Alexandria: a geometry-optimized NbAlMo structure (GGA-PBE).

- DFT total energy: -8.40 eV per atom
- Fermi-level density of states: 2.02 states/eV/cell
- Space group: P3m1, No. 156
- Crystal system: trigonal
- Excess energy over the best structure of this formula in the dataset: 0.0 meV per atom
- E_form: -0.18 eV/atom
- Total moment: 0.00 μB/cell

Cell: 4.544 4.544 2.774 Å, 90.00 90.00 120.00°
Sites, in units of the cell vectors:
Nb1 0.000 0.000 0.000
Al1 0.333 0.667 0.606
Mo1 0.667 0.333 0.267



# 6
Entry from Alexandria: a geometry-optimized Ba2SiSb structure (GGA-PBE).

- DFT total energy: -3.77 eV per atom
- Fermi-level density of states: 2.52 states/eV/cell
- Space group: Immm, No. 71
- Crystal system: orthorhombic
- Excess energy over the best structure of this formula in the dataset: 157.4 meV per atom
- Total moment: 0.00 μB/cell
- Raw formation energy: -423 meV/atom

Cell: 6.082 6.082 6.082 Å, 127.22 127.11 77.98°
Sites, in units of the cell vectors:
Ba1 0.250 0.250 0.000
Ba2 0.750 0.750 0.000
Si1 0.500 0.000 0.500
Sb1 0.000 0.500 0.500



# 7
Entry from Alexandria: a geometry-optimized Sr2AcTl2Cd2 structure (GGA-PBE).

- DFT total energy: -2.29 eV per atom
- Fermi-level density of states: 2.91 states/eV/cell
- Space group: R-3m, No. 166
- Crystal system: trigonal
- E_form: -0.28 eV/atom
- Total moment: 0.00 μB/cell

Cell: 10.871 10.871 10.871 Å, 27.53 27.53 27.53°
Sites, in units of the cell vectors:
Sr1 0.125 0.125 0.125
Sr2 0.875 0.875 0.875
Ac1 0.000 0.000 0.000
Tl1 0.260 0.260 0.260
Tl2 0.740 0.740 0.740
Cd1 0.394 0.394 0.394
Cd2 0.606 0.606 0.606



# 8
Entry from Alexandria: a geometry-optimized Li2Pm3Ga3 structure (GGA-PBE).

- DFT total energy: -3.76 eV per atom
- Fermi-level density of states: 4.49 states/eV/cell
- Space group: C2/m, No. 12
- Crystal system: monoclinic
- Excess energy over the best structure of this formula in the dataset: 63.1 meV per atom
- E_form: -0.36 eV/atom
- Total moment: 0.00 μB/cell

Cell: 8.937 8.937 4.819 Å, 105.58 105.58 28.26°
Sites, in units of the cell vectors:
Li1 0.240 0.240 0.239
Li2 0.760 0.760 0.761
Pm1 0.000 0.000 0.000
Pm2 0.140 0.140 0.640
Pm3 0.860 0.860 0.360
Ga1 0.350 0.350 0.850
Ga2 0.500 0.500 0.500
Ga3 0.650 0.650 0.150



# 9
Entry from Alexandria: a geometry-optimized Na4SiRh3O8 structure (GGA-PBE).

- DFT total energy: -5.89 eV per atom
- Fermi-level density of states: 2.91 states/eV/cell
- Space group: R-3m, No. 166
- Crystal system: trigonal
- Total moment: 0.00 μB/cell
- Raw formation energy: -1364 meV/atom

Cell: 6.355 6.355 6.355 Å, 58.48 58.48 58.48°
Sites, in units of the cell vectors:
Na1 0.000 0.000 0.000
Na2 0.000 0.500 0.500
Na3 0.500 0.000 0.500
Na4 0.500 0.500 0.000
Si1 0.500 0.500 0.500
Rh1 0.000 0.000 0.500
Rh2 0.000 0.500 0.000
Rh3 0.500 0.000 0.000
O1 0.232 0.232 0.232
O2 0.276 0.708 0.708
O3 0.292 0.292 0.724
O4 0.292 0.724 0.292
O5 0.708 0.276 0.708
O6 0.708 0.708 0.276
O7 0.724 0.292 0.292
O8 0.768 0.768 0.768



# 10
Entry from Alexandria: a geometry-optimized MnCu2SbS4 structure (GGA-PBE).

- DFT total energy: -5.04 eV per atom
- Fermi-level density of states: 2.41 states/eV/cell
- Space group: Fmm2, No. 42
- Crystal system: orthorhombic
- Total moment: 3.99 μB/cell
- Raw formation energy: -295 meV/atom

Cell: 6.690 6.686 5.565 Å, 65.45 65.38 49.17°
Sites, in units of the cell vectors:
Mn1 0.000 0.000 0.000
Cu1 0.250 0.250 0.250
Cu2 0.750 0.750 0.750
Sb1 0.500 0.500 0.500
S1 0.092 0.634 0.366
S2 0.367 0.908 0.633
S3 0.634 0.092 0.908
S4 0.908 0.367 0.092



# 11
Entry from Alexandria: a geometry-optimized YMnMo2 structure (GGA-PBE).

- DFT total energy: -8.88 eV per atom
- Fermi-level density of states: 5.15 states/eV/cell
- Space group: Pmmm, No. 47
- Crystal system: orthorhombic
- Excess energy over the best structure of this formula in the dataset: 199.2 meV per atom
- E_form: 0.44 eV/atom
- Total moment: 1.95 μB/cell

Cell: 3.274 4.466 4.798 Å, 90.00 90.00 90.00°
Sites, in units of the cell vectors:
Y1 0.000 0.000 0.000
Mn1 0.500 0.500 0.000
Mo1 0.000 0.500 0.500
Mo2 0.500 0.000 0.500



# 12
Entry from Alexandria: a geometry-optimized Zr2ScAlH structure (GGA-PBE).

- DFT total energy: -6.50 eV per atom
- Fermi-level density of states: 2.57 states/eV/cell
- Space group: P4/mmm, No. 123
- Crystal system: tetragonal
- Excess energy over the best structure of this formula in the dataset: 0.0 meV per atom
- Total moment: 0.00 μB/cell

Cell: 4.405 4.405 4.396 Å, 90.00 90.00 90.00°
Sites, in units of the cell vectors:
Zr1 0.000 0.500 0.000
Zr2 0.500 0.000 0.000
Sc1 0.000 0.000 0.500
Al1 0.500 0.500 0.500
H1 0.000 0.000 0.000



# 13
Entry from Alexandria: a geometry-optimized ZrBrCl2 structure (GGA-PBE).

- DFT total energy: -4.10 eV per atom
- Fermi-level density of states: 1.69 states/eV/cell
- Space group: Fm-3m, No. 225
- Crystal system: cubic
- Excess energy over the best structure of this formula in the dataset: 931.2 meV per atom
- Total moment: 0.99 μB/cell
- Raw formation energy: -620 meV/atom

Cell: 4.880 4.880 4.880 Å, 60.00 60.00 60.00°
Sites, in units of the cell vectors:
Zr1 0.000 0.000 0.000
Br1 0.500 0.500 0.500
Cl1 0.250 0.250 0.250
Cl2 0.750 0.750 0.750



# 14
Entry from Alexandria: a geometry-optimized Ga2Ni3Ir3 structure (GGA-PBE).

- DFT total energy: -6.43 eV per atom
- Fermi-level density of states: 8.16 states/eV/cell
- Space group: Pmmm, No. 47
- Crystal system: orthorhombic
- E_form: -0.18 eV/atom
- Total moment: 0.00 μB/cell

Cell: 4.202 4.215 5.907 Å, 90.00 90.00 90.00°
Sites, in units of the cell vectors:
Ga1 0.000 0.000 0.244
Ga2 0.000 0.000 0.756
Ni1 0.000 0.500 0.000
Ni2 0.500 0.500 0.241
Ni3 0.500 0.500 0.759
Ir1 0.000 0.500 0.500
Ir2 0.500 0.000 0.000
Ir3 0.500 0.000 0.500



# 15
Entry from Alexandria: a geometry-optimized LiDyThMg structure (GGA-PBE).

- DFT total energy: -3.75 eV per atom
- Fermi-level density of states: 4.35 states/eV/cell
- Space group: F-43m, No. 216
- Crystal system: cubic
- E_form: 0.13 eV/atom
- Total moment: 0.00 μB/cell

Cell: 5.333 5.333 5.333 Å, 60.00 60.00 60.00°
Sites, in units of the cell vectors:
Li1 0.000 0.000 0.000
Dy1 0.750 0.750 0.750
Th1 0.250 0.250 0.250
Mg1 0.500 0.500 0.500



# 16
Entry from Alexandria: a geometry-optimized Nd2EuRu structure (GGA-PBE).

- DFT total energy: -7.35 eV per atom
- Fermi-level density of states: 3.57 states/eV/cell
- Space group: P4/mmm, No. 123
- Crystal system: tetragonal
- E_form: -0.08 eV/atom
- Total moment: 7.64 μB/cell

Cell: 3.538 3.538 9.805 Å, 90.00 90.00 90.00°
Sites, in units of the cell vectors:
Nd1 0.000 0.000 0.174
Nd2 0.000 0.000 0.826
Eu1 0.500 0.500 0.500
Ru1 0.500 0.500 0.000



# 17
Entry from Alexandria: a geometry-optimized CaPu3Tc structure (GGA-PBE).

- DFT total energy: -10.79 eV per atom
- Fermi-level density of states: 22.14 states/eV/cell
- Space group: Pm-3m, No. 221
- Crystal system: cubic
- E_form: 0.29 eV/atom
- Total moment: 16.80 μB/cell

Cell: 5.332 5.332 5.332 Å, 90.00 90.00 90.00°
Sites, in units of the cell vectors:
Ca1 0.000 0.000 0.000
Pu1 0.000 0.500 0.500
Pu2 0.500 0.000 0.500
Pu3 0.500 0.500 0.000
Tc1 0.500 0.500 0.500



# 18
Entry from Alexandria: a geometry-optimized Mg5Cd2In2 structure (GGA-PBE).

- DFT total energy: -1.77 eV per atom
- Fermi-level density of states: 3.47 states/eV/cell
- Space group: P-1, No. 2
- Crystal system: triclinic
- Excess energy over the best structure of this formula in the dataset: 0.0 meV per atom
- E_form: -0.07 eV/atom
- Total moment: 0.00 μB/cell

Cell: 3.289 7.046 9.503 Å, 105.97 90.29 102.83°
Sites, in units of the cell vectors:
Mg1 0.000 0.000 0.000
Mg2 0.334 0.668 0.448
Mg3 0.335 0.670 0.112
Mg4 0.665 0.330 0.888
Mg5 0.666 0.332 0.552
Cd1 0.328 0.651 0.784
Cd2 0.672 0.349 0.216
In1 0.002 0.000 0.671
In2 0.998 0.000 0.329



# 19
Entry from Alexandria: a geometry-optimized CdSbW structure (GGA-PBE).

- DFT total energy: -5.39 eV per atom
- Fermi-level density of states: 3.75 states/eV/cell
- Space group: P3m1, No. 156
- Crystal system: trigonal
- Excess energy over the best structure of this formula in the dataset: 21.4 meV per atom
- Total moment: 0.00 μB/cell
- Raw formation energy: 603 meV/atom

Cell: 3.159 3.159 7.404 Å, 90.00 90.00 120.00°
Sites, in units of the cell vectors:
Cd1 0.000 0.000 0.000
Sb1 0.667 0.333 0.400
W1 0.333 0.667 0.686



# 20
Entry from Alexandria: a geometry-optimized Tl3Cd2Se4 structure (GGA-PBE).

- DFT total energy: -2.95 eV per atom
- Fermi-level density of states: 1.91 states/eV/cell
- Space group: C2/m, No. 12
- Crystal system: monoclinic
- Total moment: 0.00 μB/cell
- Raw formation energy: -414 meV/atom

Cell: 8.745 8.745 7.856 Å, 109.27 109.27 28.20°
Sites, in units of the cell vectors:
Tl1 0.000 0.000 0.000
Tl2 0.121 0.121 0.531
Tl3 0.879 0.879 0.469
Cd1 0.330 0.330 0.020
Cd2 0.670 0.670 0.980
Se1 0.213 0.213 0.203
Se2 0.483 0.483 0.271
Se3 0.517 0.517 0.729
Se4 0.787 0.787 0.797